(1)
VASP calculation (PBE) on a geometry-optimized NaTlSi structure.

Computed properties:
volume: 26.655 Å³ per atom
ΔE_f (raw): 0.229 eV/atom
DOS at the Fermi energy: 0.74 states/eV/f.u.
M_tot: 0.00 μB/cell

```
NaTlSi
1.0
4.6593 0.0000 0.0000
0.0000 4.6593 0.0000
0.0000 0.0000 7.3669
Si Na Tl
2 2 2
Cartesian
2.3297 0.0000 5.4059
0.0000 2.3297 1.9610
2.3297 0.0000 1.0621
0.0000 2.3297 6.3048
0.0000 0.0000 3.6835
2.3297 2.3297 3.6835
```

***

(2)
VASP calculation (PBE) on a geometry-optimized NaTlSi structure.

Computed properties:
volume: 26.654 Å³ per atom
ΔE_f (raw): 0.083 eV/atom
DOS at the Fermi energy: 0.93 states/eV/f.u.
M_tot: 0.00 μB/cell

```
NaTlSi
1.0
14.7595 0.0000 0.1180
4.5418 1.8578 -2.8800
-4.5418 1.8578 2.8800
Si Na Tl
2 2 2
Cartesian
15.0305 1.8578 -1.2775
4.8063 1.8578 -2.8141
1.2242 1.8578 2.4822
12.2675 1.8578 -0.0328
3.0074 1.8578 -0.2258
8.7442 1.8578 -0.0846
```

***

(3)
VASP calculation (PBE) on a geometry-optimized NaTlSi structure.

Computed properties:
volume: 26.740 Å³ per atom
ΔE_f (raw): 0.009 eV/atom
DOS at the Fermi energy: 1.37 states/eV/f.u.
M_tot: 0.00 μB/cell

```
NaTlSi
1.0
2.1882 0.0000 12.8964
-1.0941 1.8951 12.8964
-1.0941 -1.8951 12.8964
Na Tl Si
2 2 2
Cartesian
0.0000 0.0000 28.9622
0.0000 0.0000 10.8994
0.0000 0.0000 34.0641
0.0000 0.0000 5.7050
0.0000 0.0000 25.9146
0.0000 0.0000 0.9393
```

***

(4)
VASP calculation (PBE) on a geometry-optimized NaTlSi structure.

Computed properties:
volume: 23.060 Å³ per atom
ΔE_f (raw): 0.233 eV/atom
DOS at the Fermi energy: 1.13 states/eV/f.u.
M_tot: 0.00 μB/cell

```
NaTlSi
1.0
-3.3234 3.7816 0.3226
0.9964 -2.8349 4.0521
2.3126 1.9637 0.8051
Si Na Tl
1 1 1
Cartesian
-0.4435 -0.6294 2.8090
-0.7271 2.5579 1.9684
0.0000 0.0000 0.0000
```

***

(5)
VASP calculation (PBE) on a geometry-optimized NaTlSi structure.

Computed properties:
volume: 26.337 Å³ per atom
ΔE_f (raw): 0.042 eV/atom
DOS at the Fermi energy: 1.02 states/eV/f.u.
M_tot: 0.00 μB/cell

```
NaTlSi
1.0
-3.5404 13.6628 -10.1927
0.3580 4.1784 -6.2173
-1.3989 -6.5042 3.4612
Tl Na Si
2 2 2
Cartesian
-2.2146 -0.9502 -0.9176
-2.3668 12.2872 -12.0311
-0.2081 6.2026 -7.7117
-4.3733 5.1344 -5.2370
-2.0241 2.7351 -4.0996
-2.5572 8.6019 -8.8492
```

***

(6)
VASP calculation (PBE) on a geometry-optimized NaTl3Si structure.

Computed properties:
volume: 33.309 Å³ per atom
ΔE_f (raw): 0.758 eV/atom
DOS at the Fermi energy: 2.94 states/eV/f.u.
M_tot: 0.00 μB/cell
energy above the lowest structure with this stoichiometry: 488 meV/atom

```
NaTl3Si
1.0
5.5019 0.0000 0.0000
0.0000 5.5019 0.0000
0.0000 0.0000 5.5019
Na Tl Si
1 3 1
Cartesian
0.0000 0.0000 0.0000
0.0000 0.0000 2.7509
2.7509 0.0000 0.0000
0.0000 2.7509 0.0000
2.7509 2.7509 2.7509
```

***

(7)
VASP calculation (PBE) on a geometry-optimized NaTlSi structure.

Computed properties:
volume: 26.146 Å³ per atom
ΔE_f (raw): 0.068 eV/atom
DOS at the Fermi energy: 1.45 states/eV/f.u.
M_tot: 0.00 μB/cell

```
NaTlSi
1.0
7.9524 -0.0207 0.0270
0.1944 3.7273 0.0066
-1.1849 0.0886 5.2880
Na Tl Si
2 2 2
Cartesian
6.6088 0.7855 1.0342
0.3530 3.0096 4.2874
5.1272 2.7251 3.4674
1.8346 1.0701 1.8541
4.1637 2.7817 0.7424
2.7981 1.0134 4.5791
```

***

(8)
VASP calculation (PBE) on a geometry-optimized NaTlSi structure.

Computed properties:
volume: 25.414 Å³ per atom
ΔE_f (raw): 0.050 eV/atom
DOS at the Fermi energy: 0.93 states/eV/f.u.
M_tot: 0.00 μB/cell

```
NaTlSi
1.0
-3.9309 -3.3754 -2.0972
0.9894 -1.0477 -3.5142
2.7503 -6.6353 2.7456
Si Na Tl
2 2 2
Cartesian
2.3500 -6.8716 1.6780
-2.5412 -4.1868 -4.5439
0.2855 -7.7383 -0.6730
-0.4767 -3.3201 -2.1928
-1.1126 -6.3904 -3.4881
0.9214 -4.6679 0.6223
```

***

(9)
VASP calculation (PBE) on a geometry-optimized NaTlSi structure.

Computed properties:
volume: 24.682 Å³ per atom
ΔE_f (raw): 0.167 eV/atom
DOS at the Fermi energy: 0.58 states/eV/f.u.
M_tot: 0.00 μB/cell

```
NaTlSi
1.0
-2.2623 7.3411 0.8496
-3.8129 -1.4578 2.4436
4.2012 0.5015 6.8543
Na Tl Si
4 4 4
Cartesian
-2.1168 -0.9294 3.0897
0.8038 3.5755 5.7030
-2.6779 2.8092 4.4446
0.2427 7.3141 7.0579
-0.7696 0.4544 6.0173
-1.1044 5.9303 4.1303
-1.3231 2.0986 1.5032
-0.5509 4.2861 8.6443
-2.1374 4.7922 1.8396
0.2634 1.5925 8.3080
0.3131 1.2792 3.5674
-2.1872 5.1055 6.5802
```

***

(10)
VASP calculation (PBE) on a geometry-optimized NaTl2Si structure.

Computed properties:
volume: 25.131 Å³ per atom
ΔE_f (raw): 0.198 eV/atom
DOS at the Fermi energy: 3.26 states/eV/f.u.
M_tot: 0.00 μB/cell
energy above the lowest structure with this stoichiometry: 0 meV/atom

```
NaTl2Si
1.0
0.0000 3.6905 3.6905
3.6905 0.0000 3.6905
3.6905 3.6905 0.0000
Tl Si Na
2 1 1
Cartesian
5.5357 5.5357 5.5357
1.8452 1.8452 1.8452
3.6905 3.6905 3.6905
0.0000 0.0000 0.0000
```

***

(11)
VASP calculation (PBE) on a geometry-optimized Na2TlSi structure.

Computed properties:
volume: 24.141 Å³ per atom
ΔE_f (raw): 0.182 eV/atom
DOS at the Fermi energy: 3.50 states/eV/f.u.
M_tot: 0.00 μB/cell
energy above the lowest structure with this stoichiometry: 0 meV/atom

```
Na2TlSi
1.0
-0.9530 -1.7068 4.7642
-4.2262 -2.7886 0.9387
0.4126 -5.0210 1.0669
Na Tl Si
2 1 1
Cartesian
-1.1916 -2.3791 1.6924
-3.5749 -7.1373 5.0773
-2.3833 -4.7582 3.3849
0.0000 0.0000 0.0000
```

***

(12)
VASP calculation (PBE) on a geometry-optimized NaTlSi structure.

Computed properties:
volume: 23.742 Å³ per atom
ΔE_f (raw): 0.156 eV/atom
DOS at the Fermi energy: 0.16 states/eV/f.u.
M_tot: 0.00 μB/cell

```
NaTlSi
1.0
-2.4407 -1.6104 -3.6367
1.5689 -2.9577 3.2507
-6.4049 0.8925 3.9033
Na Si Tl
2 2 2
Cartesian
-1.6557 0.2307 1.0090
-4.8581 0.6769 2.9606
-7.1370 -1.2189 2.3356
-2.5980 -2.1142 2.6798
-0.0853 -2.4643 1.1485
-4.6243 -1.5690 0.8043
```

***

(13)
VASP calculation (PBE) on a geometry-optimized NaTl3Si structure.

Computed properties:
volume: 33.738 Å³ per atom
ΔE_f (raw): 0.270 eV/atom
DOS at the Fermi energy: 2.47 states/eV/f.u.
M_tot: 0.00 μB/cell
energy above the lowest structure with this stoichiometry: 0 meV/atom

```
NaTl3Si
1.0
5.5254 0.0000 0.0000
0.0000 5.5254 0.0000
0.0000 0.0000 5.5254
Tl Si Na
3 1 1
Cartesian
2.7627 0.0000 0.0000
0.0000 0.0000 2.7627
0.0000 2.7627 0.0000
0.0000 0.0000 0.0000
2.7627 2.7627 2.7627
```

***

(14)
VASP calculation (PBE) on a geometry-optimized NaTlSi structure.

Computed properties:
volume: 44.487 Å³ per atom
ΔE_f (raw): 0.791 eV/atom
DOS at the Fermi energy: 1.73 states/eV/f.u.
M_tot: 0.00 μB/cell

```
NaTlSi
1.0
0.4394 1.2388 5.3434
-4.8851 0.3386 -2.5101
-1.9094 -9.7044 2.4068
Tl Na Si
2 2 2
Cartesian
-1.4320 -7.2783 1.8051
-0.4773 -2.4261 0.6017
-2.7674 -6.3396 4.5306
-3.5876 -1.7874 0.7094
-0.9547 -4.8522 1.2034
0.0000 0.0000 0.0000
```

***

(15)
VASP calculation (PBE) on a geometry-optimized Na2YTlSi structure.

Computed properties:
volume: 30.412 Å³ per atom
ΔE_f (raw): 0.564 eV/atom
DOS at the Fermi energy: 2.44 states/eV/f.u.
M_tot: 0.00 μB/cell

```
Na2YTlSi
1.0
-4.5494 -1.4929 2.4353
0.4797 -4.8255 -2.0620
2.8143 -1.5585 4.3020
Si Na Y Tl
1 2 1 1
Cartesian
0.2398 -2.4127 -1.0310
-2.2747 -0.7464 1.2177
1.4072 -0.7793 2.1510
-0.6277 -3.9384 2.3377
0.0000 0.0000 0.0000
```

***

(16)
VASP calculation (PBE) on a geometry-optimized NaZrTlSi2 structure.

Computed properties:
volume: 23.622 Å³ per atom
ΔE_f (raw): 1.138 eV/atom
DOS at the Fermi energy: 3.97 states/eV/f.u.
M_tot: 0.00 μB/cell

```
NaZrTlSi2
1.0
4.8565 0.0000 0.0000
0.0000 5.0078 0.0000
0.0000 0.0000 4.8565
Si Na Zr Tl
2 1 1 1
Cartesian
2.4282 0.0000 0.0000
0.0000 0.0000 2.4282
0.0000 0.0000 0.0000
2.4282 2.5039 2.4282
0.0000 2.5039 0.0000
```

***

(17)
VASP calculation (PBE) on a geometry-optimized NaTmSi4 structure.

Computed properties:
volume: 17.232 Å³ per atom
ΔE_f (raw): -0.169 eV/atom
DOS at the Fermi energy: 1.03 states/eV/f.u.
M_tot: 0.00 μB/cell

```
NaTmSi4
1.0
-0.1230 -4.7789 2.2139
4.3002 -3.0429 -0.0613
2.6505 -0.9048 4.4621
Na Si Tm
1 4 1
Cartesian
0.0000 0.0000 0.0000
2.9373 -5.0081 1.8891
4.3380 -3.0517 3.0245
2.1042 -3.9284 4.1735
4.2759 -5.4651 4.1425
1.7069 -2.1817 1.6537
```

***

(18)
VASP calculation (PBE) on a geometry-optimized NaTmSi structure.

Computed properties:
volume: 27.686 Å³ per atom
ΔE_f (raw): -0.177 eV/atom
DOS at the Fermi energy: 1.78 states/eV/f.u.
M_tot: 0.00 μB/cell

```
NaTmSi
1.0
-2.2406 2.6190 -1.6148
-3.1559 -8.4226 -4.7955
-6.1087 -5.8312 -0.9813
Tm Na Si
2 2 2
Cartesian
-7.4895 -5.6402 -3.2413
-4.0157 -5.9946 -4.1504
-7.1452 -9.0348 -4.7387
-4.3600 -2.6001 -2.6529
-5.1728 -5.3882 -1.5613
-6.3324 -6.2467 -5.8303
```

***

(19)
VASP calculation (PBE) on a geometry-optimized NaVSi structure.

Computed properties:
volume: 19.841 Å³ per atom
ΔE_f (raw): -0.006 eV/atom
DOS at the Fermi energy: 1.61 states/eV/f.u.
M_tot: 0.00 μB/cell
energy above the lowest structure with this stoichiometry: 140 meV/atom

```
NaVSi
1.0
8.6284 0.0000 -0.0130
0.0000 3.3262 0.0000
-1.7448 0.0000 8.2987
V Na Si
4 4 4
Cartesian
3.3614 0.0000 7.1211
4.2338 1.6631 2.9718
2.6498 1.6631 5.3139
3.5222 0.0000 1.1645
6.8502 0.0000 2.7569
0.9058 1.6631 1.3794
5.9778 1.6631 6.9063
0.0334 0.0000 5.5287
4.5058 0.0000 4.8743
2.3778 0.0000 3.4113
5.3782 1.6631 0.7250
1.5054 1.6631 7.5607
```

***

(20)
VASP calculation (PBE) on a geometry-optimized NaVSi structure.

Computed properties:
volume: 18.936 Å³ per atom
ΔE_f (raw): -0.093 eV/atom
DOS at the Fermi energy: 1.31 states/eV/f.u.
M_tot: 0.00 μB/cell
energy above the lowest structure with this stoichiometry: 53 meV/atom

```
NaVSi
1.0
-0.3940 2.5128 0.9043
0.5058 -1.2482 3.6888
10.6169 1.2670 -1.0271
V Na Si
2 2 2
Cartesian
6.1388 1.4219 2.7748
4.5898 1.1096 0.7913
9.2531 1.9153 2.5147
1.4756 0.6162 1.0513
7.0477 0.9021 0.3840
3.6810 1.6295 3.1821
```

***

(21)
VASP calculation (PBE) on a geometry-optimized NaVSi2 structure.

Computed properties:
volume: 25.262 Å³ per atom
ΔE_f (raw): 0.486 eV/atom
DOS at the Fermi energy: 3.58 states/eV/f.u.
M_tot: 3.37 μB/cell
energy above the lowest structure with this stoichiometry: 131 meV/atom

```
NaVSi2
1.0
-1.4508 0.7419 -4.6922
-3.1276 -3.8419 0.3596
-8.1858 3.4956 0.4548
V Si Na
2 4 2
Cartesian
0.0000 0.0000 0.0000
-5.9629 1.3438 -3.2018
-7.8086 2.7798 -3.7186
-5.2666 -0.8802 -3.7539
-3.7110 1.0450 -3.9603
-7.0655 2.4306 -1.3746
-6.8013 -0.9482 -0.6760
-2.2892 -1.5500 -2.1663
```

***

(22)
VASP calculation (PBE) on a geometry-optimized NaVSi structure.

Computed properties:
volume: 21.019 Å³ per atom
ΔE_f (raw): 0.149 eV/atom
DOS at the Fermi energy: 2.81 states/eV/f.u.
M_tot: 3.26 μB/cell
energy above the lowest structure with this stoichiometry: 296 meV/atom

```
NaVSi
1.0
-0.1256 -3.6244 2.1150
3.6738 1.9252 -0.6494
-2.7898 12.4856 21.2304
Na V Si
6 6 6
Cartesian
0.2046 2.4156 8.3183
0.5412 8.4273 14.4736
2.1415 1.2651 2.2952
-1.1958 5.3517 9.0999
-0.0063 0.0282 0.0480
-0.9848 7.7390 17.3702
0.5702 0.7795 5.5363
-2.4305 10.8777 18.4964
0.9067 6.7912 11.6916
-0.4839 5.4970 13.5579
-0.1473 11.5087 19.7132
-0.6948 3.1096 5.2876
-0.2232 4.3302 11.5740
-1.4117 9.6494 20.6186
-1.6226 7.2620 12.3483
1.7146 3.1755 5.5435
-0.4341 1.9429 3.3037
0.1134 10.3419 17.7293
```

***

(23)
VASP calculation (PBE) on a geometry-optimized NaVSi structure.

Computed properties:
volume: 20.361 Å³ per atom
ΔE_f (raw): 0.154 eV/atom
DOS at the Fermi energy: 2.57 states/eV/f.u.
M_tot: 0.73 μB/cell
energy above the lowest structure with this stoichiometry: 300 meV/atom

```
NaVSi
1.0
-2.1903 0.6383 -3.5165
-1.9828 -0.2800 3.6825
0.7206 7.9342 0.9914
Na V Si
2 2 2
Cartesian
0.5155 5.6763 0.7092
-1.4132 8.1270 -0.1429
0.2241 2.4669 0.3082
-1.7250 3.6258 1.7326
-1.7975 3.8959 -0.6716
-1.9332 1.3336 1.4462
```

***

(24)
VASP calculation (PBE) on a geometry-optimized NaVSi structure.

Computed properties:
volume: 18.672 Å³ per atom
ΔE_f (raw): -0.146 eV/atom
DOS at the Fermi energy: 1.36 states/eV/f.u.
M_tot: 0.00 μB/cell
energy above the lowest structure with this stoichiometry: 0 meV/atom

```
NaVSi
1.0
3.1905 0.0000 0.0000
0.0000 11.1013 0.0000
0.0000 0.0000 3.1631
Na Si V
2 2 2
Cartesian
1.5953 1.5261 1.5815
0.0000 9.5751 0.0000
0.0000 3.6822 0.0000
1.5953 7.4191 1.5815
1.5953 4.8668 1.5815
0.0000 6.2345 0.0000
```

***

(25)
VASP calculation (PBE) on a geometry-optimized NaVSi structure.

Computed properties:
volume: 21.110 Å³ per atom
ΔE_f (raw): -0.004 eV/atom
DOS at the Fermi energy: 1.78 states/eV/f.u.
M_tot: 0.00 μB/cell
energy above the lowest structure with this stoichiometry: 142 meV/atom

```
NaVSi
1.0
-1.6378 3.4621 0.6373
-0.9878 0.0746 -2.9436
-8.3318 -5.9880 2.6441
V Si Na
2 2 2
Cartesian
-4.0555 1.4666 -0.2404
-5.0324 -0.5558 0.0361
-2.5583 -0.2030 0.8533
-3.9722 -2.4682 1.2704
-9.1167 -4.9847 1.2945
-6.9430 -1.9158 2.2813
```

***

(26)
VASP calculation (PBE) on a geometry-optimized NaV2Si structure.

Computed properties:
volume: 19.713 Å³ per atom
ΔE_f (raw): 0.830 eV/atom
DOS at the Fermi energy: 3.82 states/eV/f.u.
M_tot: 0.00 μB/cell

```
NaV2Si
1.0
-0.4068 -0.6124 4.0906
-1.6423 -3.7486 -0.7245
7.3144 -5.8868 1.9575
V Na Si
4 2 2
Cartesian
1.2971 -2.4314 3.6795
0.4165 -4.3951 3.9145
5.0081 -5.3870 2.8587
5.0444 -5.1459 5.0097
2.3238 -5.9079 1.4580
-1.0245 -2.1805 1.6831
0.0000 0.0000 0.0000
2.9415 -4.3398 3.8656
```